1.
Entry from Alexandria: a relaxed Ho5Ge2Pb2 crystal (PBE-GGA).

The total magnetization is 0.00 μB per formula unit. The calculation puts the energy of formation from the pure elements at -0.697 eV per atom.

It has space group Cmce (No. 64), with a = 15.327 Å, b = 7.956 Å, c = 7.903 Å, α = 90.00°, β = 90.00° and γ = 90.00°. Symmetry generates all atoms from Ho at (0.000, 0.000, 0.000), Ho at (0.126, 0.167, 0.334), Ge at (0.000, 0.139, 0.639) and Pb at (0.211, 0.000, 0.000).


2.
Entry from Alexandria: a relaxed Ho8GePb5 crystal (PBE-GGA).

The total magnetization is 0.00 μB per formula unit. The calculation puts the energy of formation from the pure elements at -0.566 eV per atom.

It has space group I-4 (No. 82), with a = 9.246 Å, b = 9.246 Å, c = 9.334 Å, α = 90.00°, β = 90.00° and γ = 90.00°. Symmetry generates all atoms from Ho at (0.068, 0.307, 0.446), Ho at (0.071, 0.177, 0.798), Ge at (0.000, 0.000, 0.500), Pb at (0.000, 0.500, 0.750) and Pb at (0.121, 0.250, 0.122).


3.
Entry from Alexandria: a relaxed Ho3GePb crystal (PBE-GGA).

The total magnetization is 0.00 μB per formula unit. The calculation puts the energy of formation from the pure elements at -0.540 eV per atom.

It has space group C2/c (No. 15), with a = 12.828 Å, b = 10.974 Å, c = 8.104 Å, α = 90.00°, β = 90.01° and γ = 90.00°. Symmetry generates all atoms from Ho at (0.108, 0.090, 0.085), Ho at (0.108, 0.410, 0.915), Ho at (0.250, 0.179, 0.700), Ge at (0.250, 0.060, 0.375), Pb at (0.000, 0.160, 0.750) and Pb at (0.000, 0.341, 0.250).


4.
Entry from Alexandria: a relaxed HoGe2Pd7Pb2 crystal (PBE-GGA).

The total magnetization is 0.00 μB per formula unit. The calculation puts the energy of formation from the pure elements at -0.472 eV per atom.

It has space group C2/m (No. 12), with a = 5.806 Å, b = 5.743 Å, c = 14.176 Å, α = 90.00°, β = 98.16° and γ = 90.00°. Symmetry generates all atoms from Ho at (0.000, 0.000, 0.000), Ge at (0.087, 0.500, 0.252), Pd at (0.000, 0.500, 0.000), Pd at (0.135, 0.500, 0.428), Pd at (0.198, 0.250, 0.850) and Pb at (0.111, 0.000, 0.378).


5.
Entry from Alexandria: a relaxed HoGe2Pt7Pb2 crystal (PBE-GGA).

The total magnetization is 0.00 μB per formula unit. The calculation puts the energy of formation from the pure elements at -0.550 eV per atom.

It has space group C2/m (No. 12), with a = 5.660 Å, b = 5.661 Å, c = 15.883 Å, α = 90.00°, β = 100.17° and γ = 90.00°. Symmetry generates all atoms from Ho at (0.000, 0.000, 0.000), Ge at (0.116, 0.500, 0.235), Pt at (0.000, 0.500, 0.000), Pt at (0.181, 0.250, 0.861), Pt at (0.196, 0.500, 0.391) and Pb at (0.211, 0.000, 0.422).


6.
Entry from Alexandria: a relaxed HoPuGePb crystal (PBE-GGA).

The total magnetization is 5.94 μB per formula unit. The calculation puts the energy of formation from the pure elements at -0.294 eV per atom.

It has space group F-43m (No. 216), with a = 7.424 Å, b = 7.424 Å, c = 7.424 Å, α = 90.00°, β = 90.00° and γ = 90.00°. Symmetry generates all atoms from Ho at (0.000, 0.000, 0.000), Pu at (0.000, 0.000, 0.500), Ge at (0.250, 0.250, 0.750) and Pb at (0.250, 0.250, 0.250).


7.
Entry from Alexandria: a relaxed Ho2Ge2Rh5Pb crystal (PBE-GGA).

The total magnetization is 0.00 μB per formula unit. The calculation puts the energy of formation from the pure elements at -0.740 eV per atom.

It has space group P4/mbm (No. 127), with a = 9.814 Å, b = 9.814 Å, c = 3.686 Å, α = 90.00°, β = 90.00° and γ = 90.00°. Symmetry generates all atoms from Ho at (0.175, 0.325, 0.000), Ge at (0.122, 0.622, 0.000), Rh at (0.000, 0.500, 0.500), Rh at (0.070, 0.785, 0.500) and Pb at (0.000, 0.000, 0.000).


8.
Entry from Alexandria: a relaxed Ho3GePbS crystal (PBE-GGA).

The total magnetization is 0.00 μB per formula unit. The value obtained for the formation energy without anion corrections is -5.59 eV/f.u.

It has space group P2_1/m (No. 11), with a = 6.819 Å, b = 4.936 Å, c = 9.501 Å, α = 90.00°, β = 106.29° and γ = 90.00°. Symmetry generates all atoms from Ho at (0.036, 0.250, 0.323), Ho at (0.268, 0.250, 0.968), Ho at (0.419, 0.750, 0.617), Ge at (0.187, 0.250, 0.632), Pb at (0.265, 0.750, 0.234) and S at (0.336, 0.750, 0.885).


9.
Entry from Alexandria: a relaxed Ho4GePbSe2 crystal (PBE-GGA).

The total magnetization is 0.00 μB per formula unit. The value obtained for the formation energy without anion corrections is -9.68 eV/f.u.

It has space group P2/m (No. 10), with a = 7.272 Å, b = 4.141 Å, c = 7.325 Å, α = 90.00°, β = 109.14° and γ = 90.00°. Symmetry generates all atoms from Ho at (0.242, 0.000, 0.237), Ho at (0.253, 0.500, 0.765), Ge at (0.000, 0.500, 0.000), Pb at (0.000, 0.000, 0.500), Se at (0.500, 0.000, 0.000) and Se at (0.500, 0.500, 0.500).


10.
Entry from Alexandria: a relaxed Ho6Ge2PbSe3 crystal (PBE-GGA).

The total magnetization is 0.00 μB per formula unit. The value obtained for the formation energy without anion corrections is -15.23 eV/f.u.

It has space group C2/m (No. 12), with a = 18.185 Å, b = 4.134 Å, c = 8.402 Å, α = 90.00°, β = 103.27° and γ = 90.00°. Symmetry generates all atoms from Ho at (0.004, 0.000, 0.263), Ho at (0.171, 0.500, 0.099), Ho at (0.172, 0.500, 0.576), Ge at (0.167, 0.000, 0.335), Pb at (0.000, 0.500, 0.000), Se at (0.000, 0.500, 0.500) and Se at (0.166, 0.000, 0.832).


> What is the total magnetization in the seventh record?

0.00 μB per formula unit


Copy entry 3 word for word.
Entry from Alexandria: a relaxed Ho3GePb crystal (PBE-GGA).

The total magnetization is 0.00 μB per formula unit. The calculation puts the energy of formation from the pure elements at -0.540 eV per atom.

It has space group C2/c (No. 15), with a = 12.828 Å, b = 10.974 Å, c = 8.104 Å, α = 90.00°, β = 90.01° and γ = 90.00°. Symmetry generates all atoms from Ho at (0.108, 0.090, 0.085), Ho at (0.108, 0.410, 0.915), Ho at (0.250, 0.179, 0.700), Ge at (0.250, 0.060, 0.375), Pb at (0.000, 0.160, 0.750) and Pb at (0.000, 0.341, 0.250).


> Number 3 is which compound?

Ho3GePb